Computed, not measured: crystalline Np3Ga5S12 at its relaxed geometry at the GGA-PBE level of DFT.

* DOS at the Fermi energy: 1.209 states/eV/atom
* ΔE_f (raw): -0.89 eV/atom

Unit cell a=15.1148 b=15.1148 c=15.1148 alpha=90.00 beta=90.00 gamma=90.00
Last column: nearest neighbours and their distance in Å.
Space group Ia-3d (No. 230)
Unique sites:
1 Np 0.0000 0.2500 0.1250 [24 per cell]  8 S 2.88-2.92
2 Ga 0.0000 0.0000 0.0000 [16 per cell]  6 S 2.49
3 Ga 0.0000 0.2500 0.3750 [24 per cell]  4 S 2.30
4 S 0.0264 0.0607 0.6511 [96 per cell]  2 Ga 2.30-2.49